DFT (GGA-PBE) results for an optimized crystal structure of Pr4AsP3.

Cell lengths 5.9820, 5.9820, 5.9820 Å; angles 90.00, 90.00, 90.00 degrees
Sites, in units of the cell vectors:
Pr 0.5000 0.0000 0.0000
Pr 0.0000 0.5000 0.0000
Pr 0.0000 0.0000 0.5000
Pr 0.5000 0.5000 0.5000
P 0.0000 0.5000 0.5000
P 0.5000 0.0000 0.5000
P 0.5000 0.5000 0.0000
As 0.0000 0.0000 0.0000

Values from the calculation:
Total magnetization ... 0.000 μB/f.u.
Symmetry ... Pm-3m
Calculated total energy ... -52.1 eV per cell
Energy relative to the elements ... -146 kJ/mol of atoms